# 1
The following is a PBE calculation of crystalline LiMg2Ir at its relaxed geometry, from the Alexandria database.

The calculation puts the total energy at -14.49 eV for the cell shown. The crystal system is orthorhombic. For the volume, the calculation gives 16.7 Å³ per atom.

It has space group Pmm2 (No. 25), with a = 2.934 Å, b = 4.082 Å, c = 5.567 Å, α = 90.00°, β = 90.00° and γ = 90.00°. Symmetry generates all atoms from Li at (0.000, 0.000, 0.000), Mg at (0.000, 0.000, 0.562), Mg at (0.500, 0.500, 0.250) and Ir at (0.500, 0.500, 0.759).

=====

# 2
The following is a PBE calculation of crystalline BaY2Os at its relaxed geometry, from the Alexandria database.

Its offset from the most stable computed form is 0.633 eV/atom. The crystal system is tetragonal. For the volume, the calculation gives 26.7 Å³ per atom.

It has space group P4/mmm (No. 123), with a = 4.996 Å, b = 4.996 Å, c = 4.282 Å, α = 90.00°, β = 90.00° and γ = 90.00°. Symmetry generates all atoms from Ba at (0.000, 0.000, 0.000), Y at (0.000, 0.500, 0.500) and Os at (0.500, 0.500, 0.000).

=====

# 3
The following is a PBE calculation of crystalline YCd2Au at its relaxed geometry, from the Alexandria database.

The calculation puts the total energy at -13.17 eV for the cell shown. The crystal system is tetragonal. For the volume, the calculation gives 22.9 Å³ per atom.

It has space group P4mm (No. 99), with a = 3.491 Å, b = 3.491 Å, c = 7.521 Å, α = 90.00°, β = 90.00° and γ = 90.00°. Symmetry generates all atoms from Y at (0.000, 0.000, 0.000), Cd at (0.000, 0.000, 0.460), Cd at (0.500, 0.500, 0.708) and Au at (0.500, 0.500, 0.227).

=====

# 4
The following is a PBE calculation of crystalline Ba2TlI at its relaxed geometry, from the Alexandria database.

Its offset from the most stable computed form is 0.004 eV/atom. The crystal system is trigonal. For the volume, the calculation gives 46.6 Å³ per atom. The uncorrected formation energy comes out at -3.404 eV per formula unit.

It has space group R-3m (No. 166, hexagonal axes), with a = 4.7761 Å, b = 4.7761 Å, c = 28.3246 Å, α = 90.00°, β = 90.00° and γ = 120.00°. Symmetry generates all atoms from Ba at (0.0000, 0.0000, 0.2458), Tl at (0.0000, 0.0000, 0.5000) and I at (0.0000, 0.0000, 0.0000).

=====

# 5
The following is a PBE calculation of crystalline CoGe at its relaxed geometry, from the Alexandria database.

The calculation puts the total energy at -93.27 eV for the cell shown. The crystal system is tetragonal. For the volume, the calculation gives 17.1 Å³ per atom.

It has space group I4/m (No. 87), with a = 8.081 Å, b = 8.081 Å, c = 4.182 Å, α = 90.00°, β = 90.00° and γ = 90.00°. Symmetry generates all atoms from Co at (0.103, 0.609, 0.000) and Ge at (0.152, 0.272, 0.000).

=====

# 6
The following is a PBE calculation of crystalline Zr2GaTe at its relaxed geometry, from the Alexandria database.

Its offset from the most stable computed form is 0.213 eV/atom. The crystal system is cubic. For the volume, the calculation gives 21.2 Å³ per atom. The uncorrected formation energy comes out at -1.493 eV per formula unit.

It has space group Fm-3m (No. 225), with a = 6.977 Å, b = 6.977 Å, c = 6.977 Å, α = 90.00°, β = 90.00° and γ = 90.00°. Symmetry generates all atoms from Zr at (0.250, 0.250, 0.250), Ga at (0.000, 0.000, 0.000) and Te at (0.000, 0.000, 0.500).

=====

# 7
The following is a PBE calculation of crystalline YHf2B6 at its relaxed geometry, from the Alexandria database.

The calculation puts the total energy at -74.11 eV for the cell shown. The crystal system is hexagonal. For the volume, the calculation gives 10.6 Å³ per atom.

It has space group P6/mmm (No. 191), with a = 5.5372 Å, b = 5.5372 Å, c = 3.5992 Å, α = 90.00°, β = 90.00° and γ = 120.00°. Symmetry generates all atoms from Y at (0.0000, 0.0000, 0.0000), Hf at (0.3333, 0.6667, 0.0000) and B at (0.0000, 0.3385, 0.5000).

=====

# 8
The following is a PBE calculation of crystalline NbCuSi at its relaxed geometry, from the Alexandria database.

The crystal system is orthorhombic. For the volume, the calculation gives 14.2 Å³ per atom. The uncorrected formation energy comes out at -1.170 eV per formula unit.

It has space group Imm2 (No. 44), with a = 3.786 Å, b = 6.362 Å, c = 7.092 Å, α = 90.00°, β = 90.00° and γ = 90.00°. Symmetry generates all atoms from Nb at (0.000, 0.000, 0.000), Nb at (0.000, 0.500, 0.131), Cu at (0.000, 0.307, 0.729) and Si at (0.000, 0.208, 0.412).